The following is a SCAN calculation of a crystal of YBRh2N relaxed with PBEsol, from Alexandria.

CIF file:
```
data_YBRh2N
_chemical_formula_sum 'Y1 B1 Rh2 N1'
_symmetry_space_group_name_H-M 'P 4/m m m'
_symmetry_Int_Tables_number 123
_symmetry_space_group_name_Hall '-P 4 2'
_cell_length_a 4.8317
_cell_length_b 4.8317
_cell_length_c 4.6573
_cell_angle_alpha 90.00
_cell_angle_beta 90.00
_cell_angle_gamma 90.00
loop_
_atom_site_label
_atom_site_type_symbol
_atom_site_fract_x
_atom_site_fract_y
_atom_site_fract_z
Y1 Y 0.0000 0.0000 0.0000
B1 B 0.0000 0.0000 0.5000
Rh1 Rh 0.0000 0.5000 0.0000
N1 N 0.5000 0.5000 0.5000
```

raw total energy	-19.718	eV per atom
ρ	4.88	g/cm3
Fermi-level density of states	0.75	states/eV/atom
uncorrected formation energy	2.70	eV/atom
crystal system	tetragonal

=====

The following is a SCAN calculation of a crystal of NbCuPdPb2 relaxed with PBEsol, from Alexandria.

CIF file:
```
data_NbCuPdPb2
_chemical_formula_sum 'Nb1 Cu1 Pd1 Pb2'
_symmetry_space_group_name_H-M 'P 4/m m m'
_symmetry_Int_Tables_number 123
_symmetry_space_group_name_Hall '-P 4 2'
_cell_length_a 4.9068
_cell_length_b 4.9068
_cell_length_c 4.5746
_cell_angle_alpha 90.00
_cell_angle_beta 90.00
_cell_angle_gamma 90.00
loop_
_atom_site_label
_atom_site_type_symbol
_atom_site_fract_x
_atom_site_fract_y
_atom_site_fract_z
Nb1 Nb 0.0000 0.0000 0.0000
Cu1 Cu 0.5000 0.5000 0.5000
Pd1 Pd 0.5000 0.5000 0.0000
Pb1 Pb 0.0000 0.5000 0.5000
```

raw total energy	-45.704	eV per atom
energy of formation from the pure elements	829	meV/atom
ρ	10.21	g/cm3
Fermi-level density of states	0.75	states/eV/atom
crystal system	tetragonal